No. 1
Computed, not measured: NaV2W after structural relaxation at the GGA-PBE level of DFT.

Summary:
**Formation energy**: 1.48 eV per atom
**Density**: 7.588 g/cm3
**Symmetry**: No. 122
**D(E_F)**: 4.92 states/eV/f.u.
**Calculated total energy**: -53.1 eV for the cell shown

Unit cell a=9.5655 b=9.5655 c=9.5655 alpha=156.85 beta=156.85 gamma=32.96
With the nearest neighbours (Å) after each atom.
Atoms (fractional coordinates):
Na 0.0000 0.0000 0.0000  4 W 2.71, 4 V 2.72
Na 0.7500 0.2500 0.5000  4 W 2.71, 4 V 2.72
V 0.1600 0.6250 0.0350  2 V 2.53, 2 W 2.62, 2 Na 2.72
V 0.3750 0.4100 0.5350  2 V 2.53, 2 W 2.62, 2 Na 2.72
V 0.5900 0.1250 0.9650  2 V 2.53, 2 W 2.62, 2 Na 2.72
V 0.8750 0.8400 0.4650  2 V 2.53, 2 W 2.62, 2 Na 2.72
W 0.2500 0.7500 0.5000  4 V 2.62, 4 Na 2.71
W 0.5000 0.5000 0.0000  4 V 2.62, 4 Na 2.71


No. 2
Computed, not measured: Sc2Al3Mo after structural relaxation at the GGA-PBE level of DFT.

Summary:
**Formation energy**: -0.43 eV per atom
**Density**: 4.064 g/cm3
**Symmetry**: No. 166
**D(E_F)**: 5.37 states/eV/f.u.
**Calculated total energy**: -37.3 eV for the cell shown

Unit cell a=5.3518 b=5.3518 c=5.3518 alpha=60.25 beta=60.25 gamma=60.25
With the nearest neighbours (Å) after each atom.
Atoms (fractional coordinates):
Sc 0.1295 0.1295 0.1295  9 Al 3.09-3.18, 3 Mo 3.14, 4 Sc 3.25-3.39
Sc 0.8705 0.8705 0.8705  9 Al 3.09-3.18, 3 Mo 3.14, 4 Sc 3.25-3.39
Al 0.0000 0.5000 0.5000  2 Mo 2.68, 4 Al 2.69
Al 0.5000 0.0000 0.5000  2 Mo 2.68, 4 Al 2.69
Al 0.5000 0.5000 0.0000  2 Mo 2.68, 4 Al 2.69
Mo 0.5000 0.5000 0.5000  6 Al 2.68


No. 3
Computed, not measured: TiCo4Ru after structural relaxation at the GGA-PBE level of DFT.

Summary:
**Formation energy**: -0.13 eV per atom
**Density**: 8.678 g/cm3
**Symmetry**: No. 216
**D(E_F)**: 5.95 states/eV/f.u.
**Calculated total energy**: -46.4 eV for the cell shown

Unit cell a=4.7041 b=4.7041 c=4.7041 alpha=60.00 beta=60.00 gamma=60.00
With the nearest neighbours (Å) after each atom.
Atoms (fractional coordinates):
Ti 0.0000 0.0000 0.0000  12 Co 2.76, 4 Ru 2.88
Co 0.1248 0.6251 0.6251  6 Co 2.35
Co 0.6251 0.1248 0.6251  6 Co 2.35
Co 0.6251 0.6251 0.1248  6 Co 2.35
Co 0.6251 0.6251 0.6251  6 Co 2.35
Ru 0.2500 0.2500 0.2500  12 Co 2.76, 4 Ti 2.88


No. 4
Computed, not measured: Pr3ZnSe2 after structural relaxation at the GGA-PBE level of DFT.

Summary:
**Density**: 6.413 g/cm3
**Formation energy (no corrections)**: -1.32 eV/atom
**Symmetry**: No. 14
**D(E_F)**: 4.85 states/eV/f.u.
**Calculated total energy**: -122.0 eV for the cell shown

Unit cell a=6.0713 b=12.7859 c=8.6206 alpha=90.00 beta=90.09 gamma=90.00
With the nearest neighbours (Å) after each atom.
Atoms (fractional coordinates):
Pr 0.2486 0.0836 0.1280  3 Se 3.01-3.05, 3 Zn 3.03-3.07
Pr 0.2486 0.4164 0.6280  3 Se 3.01-3.05, 3 Zn 3.03-3.07
Pr 0.2497 0.0864 0.6225  5 Se 2.99-3.04, 1 Zn 3.09
Pr 0.2497 0.4136 0.1225  5 Se 2.99-3.04, 1 Zn 3.09
Pr 0.2515 0.7504 0.1266  2 Zn 3.00-3.02, 4 Se 3.02-3.04
Pr 0.2515 0.7496 0.6266  2 Zn 3.00-3.02, 4 Se 3.02-3.04
Pr 0.7485 0.2504 0.3734  2 Zn 3.00-3.02, 4 Se 3.02-3.04
Pr 0.7485 0.2496 0.8734  2 Zn 3.00-3.02, 4 Se 3.02-3.04
Pr 0.7503 0.5864 0.8775  5 Se 2.99-3.04, 1 Zn 3.09
Pr 0.7503 0.9136 0.3775  5 Se 2.99-3.04, 1 Zn 3.09
Pr 0.7514 0.5836 0.3720  3 Se 3.01-3.05, 3 Zn 3.03-3.07
Pr 0.7514 0.9164 0.8720  3 Se 3.01-3.05, 3 Zn 3.03-3.07
Zn 0.2516 0.5854 0.3745  6 Pr 3.00-3.09
Zn 0.2516 0.9146 0.8745  6 Pr 3.00-3.09
Zn 0.7484 0.0854 0.1255  6 Pr 3.00-3.09
Zn 0.7484 0.4146 0.6255  6 Pr 3.00-3.09
Se 0.2485 0.2501 0.3745  6 Pr 2.99-3.05
Se 0.2485 0.2499 0.8745  6 Pr 2.99-3.05
Se 0.2503 0.5838 0.8778  6 Pr 3.02-3.04
Se 0.2503 0.9162 0.3778  6 Pr 3.02-3.04
Se 0.7497 0.0838 0.6222  6 Pr 3.02-3.04
Se 0.7497 0.4162 0.1222  6 Pr 3.02-3.04
Se 0.7515 0.7501 0.1255  6 Pr 2.99-3.05
Se 0.7515 0.7499 0.6255  6 Pr 2.99-3.05


No. 5
Computed, not measured: KCrTe2 after structural relaxation at the GGA-PBE level of DFT.

Summary:
**Density**: 4.318 g/cm3
**Formation energy (no corrections)**: -0.31 eV/atom
**Symmetry**: No. 71
**D(E_F)**: 1.53 states/eV/f.u.
**Calculated total energy**: -18.3 eV for the cell shown

Unit cell a=6.2133 b=6.2133 c=6.2133 alpha=142.34 beta=110.76 gamma=81.59
With the nearest neighbours (Å) after each atom.
Atoms (fractional coordinates):
K 0.0000 0.0000 0.0000  8 Te 3.54-3.95
Cr 0.5000 0.5000 0.0000  4 Te 2.68
Te 0.3105 0.8105 0.5000  2 Cr 2.68
Te 0.6895 0.1895 0.5000  2 Cr 2.68


No. 6
Computed, not measured: LiBiPd2 after structural relaxation at the GGA-PBE level of DFT.

Summary:
**Formation energy**: -0.15 eV per atom
**Density**: 9.389 g/cm3
**Symmetry**: No. 122
**D(E_F)**: 2.58 states/eV/f.u.
**Calculated total energy**: -33.6 eV for the cell shown

Unit cell a=9.6706 b=9.6706 c=9.6706 alpha=155.81 beta=155.81 gamma=34.47
With the nearest neighbours (Å) after each atom.
Atoms (fractional coordinates):
Li 0.0000 0.0000 0.0000  4 Pd 2.70, 4 Bi 2.87
Li 0.7500 0.2500 0.5000  4 Pd 2.70, 4 Bi 2.87
Bi 0.2500 0.7500 0.5000  4 Pd 2.74, 4 Li 2.87
Bi 0.5000 0.5000 0.0000  4 Pd 2.74, 4 Li 2.87
Pd 0.1107 0.6250 0.9857  2 Li 2.70, 2 Bi 2.74, 4 Pd 2.78-2.95
Pd 0.3750 0.3607 0.4857  2 Li 2.70, 2 Bi 2.74, 4 Pd 2.78-2.95
Pd 0.6393 0.1250 0.0143  2 Li 2.70, 2 Bi 2.74, 4 Pd 2.78-2.95
Pd 0.8750 0.8893 0.5143  2 Li 2.70, 2 Bi 2.74, 4 Pd 2.78-2.95


No. 7
Computed, not measured: KAuSCl2 after structural relaxation at the GGA-PBE level of DFT.

Summary:
**Density**: 4.203 g/cm3
**Formation energy (no corrections)**: -0.55 eV/atom
**Symmetry**: No. 123
**D(E_F)**: 3.53 states/eV/f.u.
**Calculated total energy**: -15.0 eV for the cell shown

Unit cell a=5.3004 b=5.3004 c=4.7679 alpha=90.00 beta=90.00 gamma=90.00
With the nearest neighbours (Å) after each atom.
Atoms (fractional coordinates):
K 0.0000 0.0000 0.0000  8 Cl 3.56, 4 S 3.75
Au 0.5000 0.5000 0.5000  2 S 2.38, 4 Cl 2.65
S 0.5000 0.5000 0.0000  2 Au 2.38
Cl 0.0000 0.5000 0.5000  2 Au 2.65
Cl 0.5000 0.0000 0.5000  2 Au 2.65


No. 8
Computed, not measured: Sc2NbBi after structural relaxation at the GGA-PBE level of DFT.

Summary:
**Formation energy**: 0.37 eV per atom
**Density**: 6.797 g/cm3
**Symmetry**: No. 122
**D(E_F)**: 6.83 states/eV/f.u.
**Calculated total energy**: -50.2 eV for the cell shown

Unit cell a=10.8137 b=10.8137 c=10.8137 alpha=157.09 beta=157.09 gamma=32.62
With the nearest neighbours (Å) after each atom.
Atoms (fractional coordinates):
Sc 0.1195 0.6250 0.9945  2 Nb 3.00, 4 Sc 3.00-3.07, 2 Bi 3.01
Sc 0.3750 0.3695 0.4945  2 Nb 3.00, 4 Sc 3.00-3.07, 2 Bi 3.01
Sc 0.6305 0.1250 0.0055  2 Nb 3.00, 4 Sc 3.00-3.07, 2 Bi 3.01
Sc 0.8750 0.8805 0.5055  2 Nb 3.00, 4 Sc 3.00-3.07, 2 Bi 3.01
Nb 0.0000 0.0000 0.0000  4 Sc 3.00, 4 Bi 3.04
Nb 0.7500 0.2500 0.5000  4 Sc 3.00, 4 Bi 3.04
Bi 0.2500 0.7500 0.5000  4 Sc 3.01, 4 Nb 3.04
Bi 0.5000 0.5000 0.0000  4 Sc 3.01, 4 Nb 3.04


No. 9
Computed, not measured: Pm5Pr6Ho after structural relaxation at the GGA-PBE level of DFT.

Summary:
**Formation energy**: 0.01 eV per atom
**Density**: 6.860 g/cm3
**Symmetry**: No. 12
**D(E_F)**: 17.45 states/eV/f.u.
**Calculated total energy**: -56.9 eV for the cell shown

Unit cell a=6.3728 b=6.3728 c=12.1334 alpha=95.03 beta=95.03 gamma=120.01
With the nearest neighbours (Å) after each atom.
Atoms (fractional coordinates):
Pm 0.0000 0.0000 0.0000  6 Pr 3.68, 6 Pm 3.68
Pm 0.1668 0.8332 0.5000  6 Pr 3.65-3.66, 3 Pm 3.68, 3 Ho 3.68
Pm 0.3335 0.6665 0.0000  6 Pr 3.67-3.68, 6 Pm 3.68
Pm 0.6665 0.3335 0.0000  6 Pr 3.67-3.68, 6 Pm 3.68
Pm 0.8332 0.1668 0.5000  6 Pr 3.65-3.66, 3 Pm 3.68, 3 Ho 3.68
Pr 0.0852 0.4176 0.2512  1 Ho 3.65, 5 Pm 3.65-3.68, 6 Pr 3.67-3.69
Pr 0.2500 0.2500 0.7491  1 Ho 3.66, 5 Pm 3.66-3.68, 6 Pr 3.67-3.69
Pr 0.4176 0.0852 0.2512  1 Ho 3.65, 5 Pm 3.65-3.68, 6 Pr 3.67-3.69
Pr 0.5824 0.9148 0.7488  1 Ho 3.65, 5 Pm 3.65-3.68, 6 Pr 3.67-3.69
Pr 0.7500 0.7500 0.2509  1 Ho 3.66, 5 Pm 3.66-3.68, 6 Pr 3.67-3.69
Pr 0.9148 0.5824 0.7488  1 Ho 3.65, 5 Pm 3.65-3.68, 6 Pr 3.67-3.69
Ho 0.5000 0.5000 0.5000  6 Pr 3.65-3.66, 6 Pm 3.68


No. 10
Computed, not measured: NdBe2GaPd5 after structural relaxation at the GGA-PBE level of DFT.

Summary:
**Formation energy**: -0.54 eV per atom
**Density**: 9.006 g/cm3
**Symmetry**: No. 123
**D(E_F)**: 3.64 states/eV/f.u.
**Calculated total energy**: -46.0 eV for the cell shown

Unit cell a=4.4358 b=4.4358 c=7.1601 alpha=90.00 beta=90.00 gamma=90.00
With the nearest neighbours (Å) after each atom.
Atoms (fractional coordinates):
Nd 0.0000 0.0000 0.0000  12 Pd 3.06-3.14
Be 0.5000 0.5000 0.3356  5 Pd 2.24-2.40, 1 Be 2.35
Be 0.5000 0.5000 0.6644  5 Pd 2.24-2.40, 1 Be 2.35
Ga 0.0000 0.0000 0.5000  8 Pd 2.66
Pd 0.0000 0.5000 0.2948  2 Be 2.24
Pd 0.0000 0.5000 0.7052  2 Be 2.24
Pd 0.5000 0.0000 0.2948  2 Be 2.24
Pd 0.5000 0.0000 0.7052  2 Be 2.24
Pd 0.5000 0.5000 0.0000  2 Be 2.40


No. 11
Computed, not measured: SbC2Br after structural relaxation at the GGA-PBE level of DFT.

Summary:
**Density**: 5.158 g/cm3
**Formation energy (no corrections)**: 2.06 eV/atom
**Symmetry**: No. 122
**D(E_F)**: 0.11 states/eV/f.u.
**Calculated total energy**: -32.0 eV for the cell shown

Unit cell a=5.9304 b=5.9304 c=5.9304 alpha=120.95 beta=120.95 gamma=88.37
With the nearest neighbours (Å) after each atom.
Atoms (fractional coordinates):
Sb 0.0000 0.0000 0.0000  4 C 2.17
Sb 0.7500 0.2500 0.5000  4 C 2.17
C 0.0809 0.6250 0.9559  2 Sb 2.17
C 0.3750 0.3309 0.4559  2 Sb 2.17
C 0.6691 0.1250 0.0441  2 Sb 2.17
C 0.8750 0.9191 0.5441  2 Sb 2.17
Br 0.2500 0.7500 0.5000  4 C 2.49
Br 0.5000 0.5000 0.0000  4 C 2.49


No. 12
Computed, not measured: TaAlPt3 after structural relaxation at the GGA-PBE level of DFT.

Summary:
**Formation energy**: 0.85 eV per atom
**Density**: 11.185 g/cm3
**Symmetry**: No. 221
**D(E_F)**: 5.26 states/eV/f.u.
**Calculated total energy**: -29.5 eV for the cell shown

Unit cell a=4.9015 b=4.9015 c=4.9015 alpha=90.00 beta=90.00 gamma=90.00
With the nearest neighbours (Å) after each atom.
Atoms (fractional coordinates):
Ta 0.0000 0.0000 0.0000  6 Pt 2.45
Al 0.5000 0.5000 0.5000  12 Pt 3.47
Pt 0.0000 0.0000 0.5000  2 Ta 2.45
Pt 0.0000 0.5000 0.0000  2 Ta 2.45
Pt 0.5000 0.0000 0.0000  2 Ta 2.45